Here is a relaxed structure of ScReSbTe2 from Alexandria. Energies are from PBE-GGA.

## Properties
- Uncorrected energy: -5.245 eV/atom
- Uncorrected formation energy: 2.960 eV per formula unit
- Fermi-level density of states: 1.245 states/eV per atom
- M_tot: 1.45 μB/cell

The structure in POSCAR format:
```
ScReSbTe2
1.0
-1.898 4.939 -1.074
-0.562 -1.346 -5.198
-4.681 -1.599 0.920
Sc Re Te Sb
1 1 2 1
Cartesian
-3.571 0.997 -2.676
0.000 0.000 0.000
-0.281 -0.673 -2.599
-0.949 2.470 -0.537
-2.340 -0.799 0.460
```